BaSrNdVO6: optimized geometry, PBE with a Hubbard U.

abc: 5.9707 5.9707 5.9707
angles: 60.00 60.00 60.00
Atoms (fractional coordinates):
1 O 0.7262 0.7262 0.2738
2 O 0.2738 0.7262 0.7262
3 O 0.2738 0.2738 0.7262
4 O 0.7262 0.2738 0.7262
5 O 0.2738 0.7262 0.2738
6 O 0.7262 0.2738 0.2738
7 Nd 0.0000 0.0000 0.0000
8 Ba 0.2500 0.2500 0.2500
9 V 0.5000 0.5000 0.5000
10 Sr 0.7500 0.7500 0.7500

Values from the calculation:
Calculated total energy ... -71.9 eV for the cell shown
Crystal system ... cubic